DFT (PBE) results for an optimized crystal structure of TmPtRh.

Lattice parameters (Å, degrees): 4.351 4.351 3.591 90.00 90.00 120.00
Sites, in units of the cell vectors:
Tm  0.000  0.000  0.000
Pt  0.333  0.667  0.500
Rh  0.667  0.333  0.500

Computed properties:
Excess energy over the best structure of this formula in the dataset = 78 meV per atom